# 1
First-principles (PBE) data for a relaxed Zn3SbO6 crystal, as listed in Alexandria via LeMat-Bulk.

Cell lengths 5.2600, 5.2600, 14.1141 Å; angles 90.00, 90.00, 120.00 degrees
With the nearest neighbours (Å) after each atom.
Space group R3 (No. 146, hexagonal axes)
Unique sites:
Zn (0.0000, 0.0000, 0.0000) [3 per cell]  6 O 2.05-2.26
Zn (0.0000, 0.0000, 0.2135) [3 per cell]  6 O 2.04-2.18
Zn (0.0000, 0.0000, 0.7230) [3 per cell]  6 O 2.03-2.26
Sb (0.0000, 0.0000, 0.5120) [3 per cell]  6 O 2.00-2.05
O (0.0147, 0.3654, 0.7773) [9 per cell]  1 Sb 2.00, 2 Zn 2.03-2.18
O (0.0389, 0.6679, 0.2734) [9 per cell]  3 Zn 2.04-2.26, 1 Sb 2.05

Results
The formation energy without anion corrections comes out at -1.248 eV/atom.



# 2
First-principles (PBE) data for a relaxed BaNb2As2 crystal, as listed in Alexandria via LeMat-Bulk.

Cell lengths 5.0708, 5.0708, 9.1239 Å; angles 90.00, 90.00, 90.00 degrees
With the nearest neighbours (Å) after each atom.
Space group I4/mmm (No. 139)
Unique sites:
Ba (0.0000, 0.0000, 0.0000) [2 per cell]  2 Nb 3.33, 8 As 3.41
Nb (0.0000, 0.0000, 0.3646) [4 per cell]  1 Nb 2.47, 4 As 2.74
As (0.0000, 0.5000, 0.2500) [4 per cell]  4 Nb 2.74

Results
The calculation puts the energy above the most stable polymorph in this dataset at 392.3 meV/atom. The formation enthalpy at 0 K is -0.350 eV/atom.



# 3
First-principles (PBE) data for a relaxed CaTb2SmBi4 crystal, as listed in Alexandria via LeMat-Bulk.

Cell lengths 7.8724, 4.5114, 7.8997 Å; angles 90.00, 109.15, 90.00 degrees
With the nearest neighbours (Å) after each atom.
Space group P2/m (No. 10)
Unique sites:
Ca (0.0000, 0.0000, 0.0000) [1 per cell]  6 Bi 3.24-3.25
Tb (0.0000, 0.5000, 0.5000) [1 per cell]  6 Bi 3.19
Tb (0.5000, 0.0000, 0.5000) [1 per cell]  6 Bi 3.18
Sm (0.5000, 0.5000, 0.0000) [1 per cell]  6 Bi 3.23
Bi (0.2492, 0.0000, 0.7448) [2 per cell]  3 Tb 3.18-3.19, 2 Sm 3.23, 1 Ca 3.24
Bi (0.2540, 0.5000, 0.2571) [2 per cell]  3 Tb 3.18-3.19, 1 Sm 3.23, 2 Ca 3.25

Results
The formation enthalpy at 0 K is -0.829 eV/atom.



# 4
First-principles (PBE) data for a relaxed RbU3Au4S12 crystal, as listed in Alexandria via LeMat-Bulk.

Cell lengths 14.7051, 14.7051, 9.1491 Å; angles 90.00, 90.00, 120.00 degrees
With the nearest neighbours (Å) after each atom.
Space group R32 (No. 155, hexagonal axes)
Unique sites:
Rb (0.0000, 0.0000, 0.0000) [3 per cell]  6 S 3.35
U (0.0000, 0.5648, 0.0000) [9 per cell]  6 S 2.51-2.64
Au (0.0000, 0.0000, 0.5000) [3 per cell]  3 S 2.43
Au (0.0000, 0.3361, 0.5000) [9 per cell]  2 S 2.31
S (0.0000, 0.6096, 0.5000) [9 per cell]  2 U 2.56
S (0.0000, 0.8350, 0.5000) [9 per cell]  1 Au 2.43, 2 U 2.64
S (0.0760, 0.2283, 0.1713) [18 per cell]  1 Au 2.31, 1 U 2.51

Results
The formation energy without anion corrections comes out at -0.689 eV/atom.



# 5
First-principles (PBE) data for a relaxed BaSr2CrCl8 crystal, as listed in Alexandria via LeMat-Bulk.

Cell lengths 6.6501, 8.6874, 6.8064 Å; angles 90.00, 92.80, 90.00 degrees
With the nearest neighbours (Å) after each atom.
Space group P2/m (No. 10)
Unique sites:
Ba (0.0000, 0.0000, 0.0000) [1 per cell]  6 Cl 3.09
Sr (0.5000, 0.2682, 0.5000) [2 per cell]  6 Cl 2.84-2.98
Cr (0.0000, 0.5000, 0.0000) [1 per cell]  4 Cl 2.44
Cl (0.2013, 0.2983, 0.1620) [4 per cell]  1 Cr 2.44
Cl (0.2741, 0.5000, 0.6839) [2 per cell]  2 Sr 2.84, 1 Cr 2.89
Cl (0.2976, 0.0000, 0.6651) [2 per cell]  2 Sr 2.94, 1 Ba 3.09

Results
The formation energy without anion corrections comes out at -2.043 eV/atom.



# 6
First-principles (PBE) data for a relaxed TlHPt3 crystal, as listed in Alexandria via LeMat-Bulk.

Cell lengths 5.1226, 5.1226, 5.1226 Å; angles 90.00, 90.00, 90.00 degrees
With the nearest neighbours (Å) after each atom.
Space group Pm-3m (No. 221)
Unique sites:
Tl (0.0000, 0.0000, 0.0000) [1 per cell]  6 Pt 2.56
H (0.5000, 0.5000, 0.5000) [1 per cell]  12 Pt 3.62
Pt (0.0000, 0.0000, 0.5000) [3 per cell]  2 Tl 2.56

Results
The calculation puts the energy above the most stable polymorph in this dataset at 1895.0 meV/atom.